# 1
# Er3Mg3Ga2Ir | OQMD | PBE | relaxed
# Space group: No. 189
# Total moment: 0.02 μB per formula unit
# VASP energy: -4.2250 eV per atom
data_Er3Mg3Ga2Ir
_chemical_formula_sum 'Er3 Mg3 Ga2 Ir1'
_cell_length_a 7.2257
_cell_length_b 7.2257
_cell_length_c 4.3167
_cell_angle_alpha 90.00
_cell_angle_beta 90.00
_cell_angle_gamma 120.00
_space_group_name_H-M_alt 'P 1'
_space_group_IT_number 1
_space_group_name_Hall 'P 1'
loop_
_atom_site_label
_atom_site_type_symbol
_atom_site_fract_x
_atom_site_fract_y
_atom_site_fract_z
Er1 Er 0.0000 0.5959 0.0000
Er2 Er 0.4041 0.4041 0.0000
Er3 Er 0.5959 0.0000 0.0000
Mg1 Mg 0.0000 0.2388 0.5000
Mg2 Mg 0.2388 0.0000 0.5000
Mg3 Mg 0.7612 0.7612 0.5000
Ga1 Ga 0.3333 0.6667 0.5000
Ga2 Ga 0.6667 0.3333 0.5000
Ir1 Ir 0.0000 0.0000 0.0000


# 2
# AgCS2O6F3 | OQMD | PBE | relaxed
# Space group: No. 14
# VASP energy: -5.4071 eV per atom
data_AgCS2O6F3
_chemical_formula_sum 'Ag4 C4 S8 O24 F12'
_cell_length_a 4.9376
_cell_length_b 24.4523
_cell_length_c 5.3311
_cell_angle_alpha 90.00
_cell_angle_beta 100.47
_cell_angle_gamma 90.00
_space_group_name_H-M_alt 'P 1'
_space_group_IT_number 1
_space_group_name_Hall 'P 1'
loop_
_atom_site_label
_atom_site_type_symbol
_atom_site_fract_x
_atom_site_fract_y
_atom_site_fract_z
Ag1 Ag 0.1976 0.1876 0.3832
Ag2 Ag 0.1976 0.3124 0.8832
Ag3 Ag 0.8024 0.6876 0.1168
Ag4 Ag 0.8024 0.8124 0.6168
C1 C 0.2586 0.5449 0.7932
C2 C 0.2586 0.9551 0.2932
C3 C 0.7414 0.0449 0.7068
C4 C 0.7414 0.4551 0.2068
S1 S 0.0365 0.6049 0.6936
S2 S 0.0365 0.8951 0.1936
S3 S 0.3556 0.6951 0.5271
S4 S 0.3556 0.8049 0.0271
S5 S 0.6444 0.1951 0.9729
S6 S 0.6444 0.3049 0.4729
S7 S 0.9635 0.1049 0.8064
S8 S 0.9635 0.3951 0.3064
O1 O 0.0636 0.1007 0.0749
O2 O 0.0636 0.3993 0.5749
O3 O 0.1152 0.7296 0.4541
O4 O 0.1152 0.7704 0.9541
O5 O 0.1470 0.1078 0.6263
O6 O 0.1470 0.3922 0.1263
O7 O 0.2549 0.6519 0.7616
O8 O 0.2549 0.8481 0.2616
O9 O 0.4128 0.2208 0.8081
O10 O 0.4128 0.2792 0.3081
O11 O 0.4182 0.6583 0.3341
O12 O 0.4182 0.8417 0.8341
O13 O 0.5818 0.1583 0.1659
O14 O 0.5818 0.3417 0.6659
O15 O 0.5872 0.7208 0.6919
O16 O 0.5872 0.7792 0.1919
O17 O 0.7451 0.1519 0.7384
O18 O 0.7451 0.3481 0.2384
O19 O 0.8530 0.6078 0.8737
O20 O 0.8530 0.8922 0.3737
O21 O 0.8848 0.2296 0.0459
O22 O 0.8848 0.2704 0.5459
O23 O 0.9364 0.6007 0.4251
O24 O 0.9364 0.8993 0.9251
F1 F 0.0953 0.5006 0.7745
F2 F 0.0953 0.9994 0.2745
F3 F 0.3869 0.5517 0.0357
F4 F 0.3869 0.9483 0.5357
F5 F 0.4420 0.5392 0.6383
F6 F 0.4420 0.9608 0.1383
F7 F 0.5579 0.0392 0.8617
F8 F 0.5579 0.4608 0.3617
F9 F 0.6131 0.0517 0.4643
F10 F 0.6131 0.4483 0.9643
F11 F 0.9047 0.0006 0.7255
F12 F 0.9047 0.4994 0.2255


# 3
# Dy4PbC2S | OQMD | PBE | relaxed
# Space group: No. 187
# Total moment: 0.01 μB per formula unit
# VASP energy: -6.4600 eV per atom
data_Dy4PbC2S
_chemical_formula_sum 'Dy4 Pb1 C2 S1'
_cell_length_a 3.6749
_cell_length_b 3.6749
_cell_length_c 14.4802
_cell_angle_alpha 90.00
_cell_angle_beta 90.00
_cell_angle_gamma 120.00
_space_group_name_H-M_alt 'P 1'
_space_group_IT_number 1
_space_group_name_Hall 'P 1'
loop_
_atom_site_label
_atom_site_type_symbol
_atom_site_fract_x
_atom_site_fract_y
_atom_site_fract_z
Dy1 Dy 0.0000 0.0000 0.1297
Dy2 Dy 0.0000 0.0000 0.8703
Dy3 Dy 0.3333 0.6667 0.3144
Dy4 Dy 0.3333 0.6667 0.6856
Pb1 Pb 0.0000 0.0000 0.5000
C1 C 0.6667 0.3333 0.2248
C2 C 0.6667 0.3333 0.7752
S1 S 0.3333 0.6667 0.0000


# 4
# YSbPt | OQMD | PBE | relaxed
# Space group: No. 189
# Total moment: 0.00 μB per formula unit
# VASP energy: -6.5981 eV per atom
data_YSbPt
_chemical_formula_sum 'Y3 Sb3 Pt3'
_cell_length_a 7.4450
_cell_length_b 7.4450
_cell_length_c 4.1984
_cell_angle_alpha 90.00
_cell_angle_beta 90.00
_cell_angle_gamma 120.00
_space_group_name_H-M_alt 'P 1'
_space_group_IT_number 1
_space_group_name_Hall 'P 1'
loop_
_atom_site_label
_atom_site_type_symbol
_atom_site_fract_x
_atom_site_fract_y
_atom_site_fract_z
Y1 Y 0.0000 0.6065 0.0000
Y2 Y 0.3935 0.3935 0.0000
Y3 Y 0.6065 0.0000 0.0000
Sb1 Sb 0.0000 0.2730 0.5000
Sb2 Sb 0.2730 0.0000 0.5000
Sb3 Sb 0.7270 0.7270 0.5000
Pt1 Pt 0.0000 0.0000 0.0000
Pt2 Pt 0.3333 0.6667 0.5000
Pt3 Pt 0.6667 0.3333 0.5000


# 5
# Al4W9 | OQMD | PBE | relaxed
# Space group: No. 166
# Total moment: 0.00 μB per formula unit
# VASP energy: -9.8360 eV per atom
data_Al4W9
_chemical_formula_sum 'Al4 W9'
_cell_length_a 9.6745
_cell_length_b 9.6745
_cell_length_c 9.6745
_cell_angle_alpha 31.59
_cell_angle_beta 31.59
_cell_angle_gamma 31.59
_space_group_name_H-M_alt 'P 1'
_space_group_IT_number 1
_space_group_name_Hall 'P 1'
loop_
_atom_site_label
_atom_site_type_symbol
_atom_site_fract_x
_atom_site_fract_y
_atom_site_fract_z
Al1 Al 0.1517 0.1517 0.1517
Al2 Al 0.3330 0.3330 0.3330
Al3 Al 0.6670 0.6670 0.6670
Al4 Al 0.8483 0.8483 0.8483
W1 W 0.0467 0.0467 0.0467
W2 W 0.0854 0.5891 0.5891
W3 W 0.4109 0.4109 0.9146
W4 W 0.4109 0.9146 0.4109
W5 W 0.5000 0.5000 0.5000
W6 W 0.5891 0.0854 0.5891
W7 W 0.5891 0.5891 0.0854
W8 W 0.9146 0.4109 0.4109
W9 W 0.9533 0.9533 0.9533


# 6
# PrInNi2 | OQMD | PBE | relaxed
# Space group: No. 51
# Total moment: 0.00 μB per formula unit
# VASP energy: -5.0639 eV per atom
data_PrInNi2
_chemical_formula_sum 'Pr2 In2 Ni4'
_cell_length_a 5.2487
_cell_length_b 4.0878
_cell_length_c 7.1915
_cell_angle_alpha 90.00
_cell_angle_beta 90.00
_cell_angle_gamma 90.00
_space_group_name_H-M_alt 'P 1'
_space_group_IT_number 1
_space_group_name_Hall 'P 1'
loop_
_atom_site_label
_atom_site_type_symbol
_atom_site_fract_x
_atom_site_fract_y
_atom_site_fract_z
Pr1 Pr 0.2500 0.0000 0.2268
Pr2 Pr 0.7500 0.0000 0.7732
In1 In 0.2500 0.5000 0.8427
In2 In 0.7500 0.5000 0.1573
Ni1 Ni 0.0000 0.5000 0.5000
Ni2 Ni 0.2500 0.0000 0.6085
Ni3 Ni 0.5000 0.5000 0.5000
Ni4 Ni 0.7500 0.0000 0.3915


# 7
# SbPd2 | OQMD | PBE | relaxed
# Space group: No. 227
# VASP energy: -4.8709 eV per atom
data_SbPd2
_chemical_formula_sum 'Sb2 Pd4'
_cell_length_a 5.3821
_cell_length_b 5.3821
_cell_length_c 5.3821
_cell_angle_alpha 60.00
_cell_angle_beta 60.00
_cell_angle_gamma 60.00
_space_group_name_H-M_alt 'P 1'
_space_group_IT_number 1
_space_group_name_Hall 'P 1'
loop_
_atom_site_label
_atom_site_type_symbol
_atom_site_fract_x
_atom_site_fract_y
_atom_site_fract_z
Sb1 Sb 0.1250 0.1250 0.1250
Sb2 Sb 0.8750 0.8750 0.8750
Pd1 Pd 0.0000 0.5000 0.5000
Pd2 Pd 0.5000 0.0000 0.5000
Pd3 Pd 0.5000 0.5000 0.0000
Pd4 Pd 0.5000 0.5000 0.5000


# 8
# ScCuSbW | OQMD | PBE | relaxed
# Space group: No. 216
# Total moment: 0.00 μB per formula unit
# VASP energy: -6.4506 eV per atom
data_ScCuSbW
_chemical_formula_sum 'Sc1 Cu1 Sb1 W1'
_cell_length_a 4.6297
_cell_length_b 4.6297
_cell_length_c 4.6297
_cell_angle_alpha 60.00
_cell_angle_beta 60.00
_cell_angle_gamma 60.00
_space_group_name_H-M_alt 'P 1'
_space_group_IT_number 1
_space_group_name_Hall 'P 1'
loop_
_atom_site_label
_atom_site_type_symbol
_atom_site_fract_x
_atom_site_fract_y
_atom_site_fract_z
Sc1 Sc 0.0000 0.0000 0.0000
Cu1 Cu 0.7500 0.7500 0.7500
Sb1 Sb 0.5000 0.5000 0.5000
W1 W 0.2500 0.2500 0.2500


# 9
# CoCu2SiS4 | OQMD | PBE | relaxed
# Space group: No. 31
# Total moment: 3.00 μB per formula unit
# VASP energy: -4.9494 eV per atom
data_CoCu2SiS4
_chemical_formula_sum 'Co2 Cu4 Si2 S8'
_cell_length_a 7.3001
_cell_length_b 6.3641
_cell_length_c 6.1013
_cell_angle_alpha 90.00
_cell_angle_beta 90.00
_cell_angle_gamma 90.00
_space_group_name_H-M_alt 'P 1'
_space_group_IT_number 1
_space_group_name_Hall 'P 1'
loop_
_atom_site_label
_atom_site_type_symbol
_atom_site_fract_x
_atom_site_fract_y
_atom_site_fract_z
Co1 Co 0.0000 0.1528 0.0000
Co2 Co 0.5000 0.8472 0.5000
Cu1 Cu 0.2476 0.3263 0.4885
Cu2 Cu 0.2524 0.6737 0.9885
Cu3 Cu 0.7476 0.6737 0.9885
Cu4 Cu 0.7524 0.3263 0.4885
Si1 Si 0.0000 0.8303 0.4990
Si2 Si 0.5000 0.1697 0.9990
S1 S 0.0000 0.1455 0.6260
S2 S 0.0000 0.8275 0.1434
S3 S 0.2445 0.6696 0.6136
S4 S 0.2555 0.3304 0.1136
S5 S 0.5000 0.1725 0.6434
S6 S 0.5000 0.8545 0.1260
S7 S 0.7445 0.3304 0.1136
S8 S 0.7555 0.6696 0.6136


# 10
# Dy2Er3Ga3 | OQMD | PBE | relaxed
# Space group: No. 6
# Total moment: 0.02 μB per formula unit
# VASP energy: -4.3548 eV per atom
data_Dy2Er3Ga3
_chemical_formula_sum 'Dy2 Er3 Ga3'
_cell_length_a 6.3788
_cell_length_b 5.0653
_cell_length_c 6.3807
_cell_angle_alpha 90.00
_cell_angle_beta 112.08
_cell_angle_gamma 90.00
_space_group_name_H-M_alt 'P 1'
_space_group_IT_number 1
_space_group_name_Hall 'P 1'
loop_
_atom_site_label
_atom_site_type_symbol
_atom_site_fract_x
_atom_site_fract_y
_atom_site_fract_z
Dy1 Dy 0.0000 0.0000 0.0000
Dy2 Dy 0.2396 0.5000 0.6946
Er1 Er 0.4415 0.0000 0.4427
Er2 Er 0.7414 0.5000 0.1992
Er3 Er 0.7457 0.5000 0.6939
Ga1 Ga 0.2479 0.5000 0.1958
Ga2 Ga 0.5015 0.0000 0.9409
Ga3 Ga 0.9374 0.0000 0.4958


# 11
# NdMg2In3Ge2Pt | OQMD | PBE | relaxed
# Space group: No. 38
# Total moment: 0.00 μB per formula unit
# VASP energy: -3.9186 eV per atom
data_NdMg2In3Ge2Pt
_chemical_formula_sum 'Nd1 Mg2 In3 Ge2 Pt1'
_cell_length_a 4.3154
_cell_length_b 7.2770
_cell_length_c 7.2770
_cell_angle_alpha 119.33
_cell_angle_beta 90.00
_cell_angle_gamma 90.00
_space_group_name_H-M_alt 'P 1'
_space_group_IT_number 1
_space_group_name_Hall 'P 1'
loop_
_atom_site_label
_atom_site_type_symbol
_atom_site_fract_x
_atom_site_fract_y
_atom_site_fract_z
Nd1 Nd 0.0000 0.0000 0.0000
Mg1 Mg 0.0000 0.4083 0.8063
Mg2 Mg 0.0000 0.8063 0.4083
In1 In 0.5000 0.1684 0.4182
In2 In 0.5000 0.4182 0.1684
In3 In 0.5000 0.6651 0.6651
Ge1 Ge 0.5000 0.0932 0.7498
Ge2 Ge 0.5000 0.7498 0.0932
Pt1 Pt 0.0000 0.4297 0.4297


# 12
# TmCo3 | OQMD | PBE | relaxed
# Energy of formation: -0.217 eV per atom
# Space group: No. 166
# Total moment: 3.56 μB per formula unit
# VASP energy: -6.6658 eV per atom
data_TmCo3
_chemical_formula_sum 'Tm3 Co9'
_cell_length_a 8.5172
_cell_length_b 8.5172
_cell_length_c 8.5172
_cell_angle_alpha 33.58
_cell_angle_beta 33.58
_cell_angle_gamma 33.58
_space_group_name_H-M_alt 'P 1'
_space_group_IT_number 1
_space_group_name_Hall 'P 1'
loop_
_atom_site_label
_atom_site_type_symbol
_atom_site_fract_x
_atom_site_fract_y
_atom_site_fract_z
Tm1 Tm 0.0000 0.0000 0.0000
Tm2 Tm 0.1397 0.1397 0.1397
Tm3 Tm 0.8603 0.8603 0.8603
Co1 Co 0.0785 0.5834 0.5834
Co2 Co 0.3351 0.3351 0.3351
Co3 Co 0.4166 0.4166 0.9215
Co4 Co 0.4166 0.9215 0.4166
Co5 Co 0.5000 0.5000 0.5000
Co6 Co 0.5834 0.0785 0.5834
Co7 Co 0.5834 0.5834 0.0785
Co8 Co 0.6649 0.6649 0.6649
Co9 Co 0.9215 0.4166 0.4166